Computed, not measured: crystalline Rb3Ba2WO6 at its relaxed geometry at the GGA+U level of DFT.

Calculated values
Size of the total moment: 0.000 μB/atom
Density: 5.39 g/cm3
Uncorrected energy: -134.08 eV for the cell shown

```
data_Rb3Ba2WO6
_cell_length_a 6.512
_cell_length_b 11.477
_cell_length_c 6.974
_cell_angle_alpha 90.00
_cell_angle_beta 106.54
_cell_angle_gamma 90.00
_symmetry_space_group_name_H-M 'C 1 2/m 1'
_symmetry_Int_Tables_number 12
_symmetry_space_group_name_Hall '-C 2y'
loop_
_atom_site_label
_atom_site_fract_x
_atom_site_fract_y
_atom_site_fract_z
Rb1 0.000 0.000 0.000
Rb2 0.000 0.349 0.000
Ba1 0.000 0.167 0.500
W1 0.000 0.500 0.500
O1 0.179 0.376 0.666
O2 0.201 0.500 0.330
```